1.
This record from Alexandria via LeMat-Bulk describes a geometry-optimized HgH3Pd2 structure. The functional is PBE-GGA.

Structure (POSCAR):
```
HgH3Pd2
1.0
2.9801 0.0000 0.0000
-1.4900 4.9272 -1.1857
0.0000 2.6600 8.8405
H Pd Hg
6 4 2
Direct
0.9216 0.8432 0.5648
0.3688 0.7375 0.3124
0.2883 0.5765 0.6313
0.0784 0.1568 0.4352
0.6312 0.2625 0.6876
0.7117 0.4235 0.3687
0.4551 0.9101 0.6491
0.8236 0.6472 0.2191
0.5449 0.0899 0.3509
0.1764 0.3528 0.7809
0.8862 0.7725 0.9122
0.1138 0.2275 0.0878
```

Computed properties:
total energy = -20.5 eV per formula unit

---

2.
This record from Alexandria via LeMat-Bulk describes a geometry-optimized Hg4H2Pd5 structure. The functional is PBE-GGA.

Structure (POSCAR):
```
Hg4H2Pd5
1.0
4.5346 0.0000 0.0000
0.0000 5.5270 -0.5291
0.0000 -0.3859 7.2528
H Hg Pd
2 4 5
Direct
0.0000 0.0914 0.2734
0.0000 0.9086 0.7266
0.5000 0.7291 0.3793
0.5000 0.7448 0.8958
0.5000 0.2709 0.6207
0.5000 0.2552 0.1042
0.0000 0.8142 0.1152
0.0000 0.1858 0.8848
0.0000 0.4140 0.3066
0.0000 0.0000 0.5000
0.0000 0.5860 0.6934
```

Computed properties:
total energy = -34.6 eV per formula unit

---

3.
This record from Alexandria via LeMat-Bulk describes a geometry-optimized HgH5Pd3 structure. The functional is PBE-GGA.

Structure (POSCAR):
```
HgH5Pd3
1.0
-1.0627 -4.1481 4.8567
1.1587 -4.1960 -5.0146
5.0216 -4.2275 -1.0033
H Pd Hg
10 6 2
Direct
0.7430 0.9624 0.5964
0.0000 0.6828 0.3172
0.2570 0.0376 0.4036
0.0000 0.3172 0.6828
0.1841 0.4233 0.2392
0.8159 0.5767 0.7608
0.0080 0.1477 0.1397
0.7430 0.3394 0.2194
0.9920 0.8523 0.8603
0.2570 0.6606 0.7806
0.7186 0.6588 0.9402
0.2814 0.3412 0.0598
0.0000 0.0000 0.0000
0.5000 0.0000 0.5000
0.1009 0.6639 0.5630
0.8991 0.3361 0.4370
0.5351 0.7850 0.2499
0.4649 0.2150 0.7501
```

Computed properties:
total energy = -32.3 eV per formula unit